1.
The following is a DFT calculation (PBE) of a geometry-optimized SmCdCuTe3 structure.

Total DFT energy (no corrections): -22.502 eV per formula unit
Size of the total moment: 0.000 μB/atom

Lattice parameters (Å, degrees): 7.3264 7.3264 11.4823 90.00 90.00 146.89
Fractional coordinates of all 12 atoms:
Cd 0.2286 0.7714 0.2500
Cd 0.7714 0.2286 0.7500
Cu 0.5270 0.4730 0.2500
Cu 0.4730 0.5270 0.7500
Sm 0.0000 0.0000 0.0000
Sm 0.0000 0.0000 0.5000
Te 0.6512 0.3488 0.0764
Te 0.9039 0.0961 0.2500
Te 0.6512 0.3488 0.4236
Te 0.3488 0.6512 0.5764
Te 0.0961 0.9039 0.7500
Te 0.3488 0.6512 0.9236

2.
The following is a DFT calculation (PBE) of a geometry-optimized Cd2CuSn structure.

Total DFT energy (no corrections): -8.678 eV per formula unit

Lattice parameters (Å, degrees): 4.8712 4.8712 4.8712 60.00 60.00 60.00
Fractional coordinates of all 4 atoms:
Cd 0.0000 0.0000 0.0000
Cd 0.7500 0.7500 0.7500
Cu 0.2500 0.2500 0.2500
Sn 0.5000 0.5000 0.5000

3.
The following is a DFT calculation (PBE) of a geometry-optimized TaCdCuSn structure.

Relative energy among the computed polymorphs: 0.000 eV/atom
Size of the total moment: 0.119 μB/atom

Lattice parameters (Å, degrees): 4.7376 4.7376 4.7376 60.00 60.00 60.00
Fractional coordinates of all 4 atoms:
Cd 0.5000 0.5000 0.5000
Cu 0.7500 0.7500 0.7500
Sn 0.0000 0.0000 0.0000
Ta 0.2500 0.2500 0.2500

4.
The following is a DFT calculation (PBE) of a geometry-optimized TaCdCuSn structure.

Relative energy among the computed polymorphs: 0.168 eV/atom
Size of the total moment: 0.452 μB/atom

Lattice parameters (Å, degrees): 4.7557 4.7557 4.7557 60.00 60.00 60.00
Fractional coordinates of all 4 atoms:
Cd 0.2500 0.2500 0.2500
Cu 0.7500 0.7500 0.7500
Sn 0.0000 0.0000 0.0000
Ta 0.5000 0.5000 0.5000

5.
The following is a DFT calculation (PBE) of a geometry-optimized CdCuSnW structure.

Relative energy among the computed polymorphs: 0.000 eV/atom
Size of the total moment: 0.202 μB/atom

Lattice parameters (Å, degrees): 4.6624 4.6624 4.6624 60.00 60.00 60.00
Fractional coordinates of all 4 atoms:
Cd 0.5000 0.5000 0.5000
Cu 0.7500 0.7500 0.7500
Sn 0.0000 0.0000 0.0000
W 0.2500 0.2500 0.2500

6.
The following is a DFT calculation (PBE) of a geometry-optimized YCdCuSn structure.

Relative energy among the computed polymorphs: 0.000 eV/atom
Size of the total moment: 0.000 μB/atom

Lattice parameters (Å, degrees): 4.9564 4.9564 4.9564 60.00 60.00 60.00
Fractional coordinates of all 4 atoms:
Cd 0.2500 0.2500 0.2500
Cu 0.7500 0.7500 0.7500
Sn 0.0000 0.0000 0.0000
Y 0.5000 0.5000 0.5000

7.
The following is a DFT calculation (PBE) of a geometry-optimized YCdCuSn structure.

Relative energy among the computed polymorphs: 0.025 eV/atom
Size of the total moment: 0.000 μB/atom

Lattice parameters (Å, degrees): 4.9768 4.9768 4.9768 60.00 60.00 60.00
Fractional coordinates of all 4 atoms:
Cd 0.5000 0.5000 0.5000
Cu 0.7500 0.7500 0.7500
Sn 0.0000 0.0000 0.0000
Y 0.2500 0.2500 0.2500

8.
The following is a DFT calculation (PBE) of a geometry-optimized ZrCdCuSn structure.

Relative energy among the computed polymorphs: 0.000 eV/atom
Size of the total moment: 0.004 μB/atom

Lattice parameters (Å, degrees): 4.8321 4.8321 4.8321 60.00 60.00 60.00
Fractional coordinates of all 4 atoms:
Cd 0.5000 0.5000 0.5000
Cu 0.7500 0.7500 0.7500
Sn 0.0000 0.0000 0.0000
Zr 0.2500 0.2500 0.2500

9.
The following is a DFT calculation (PBE) of a geometry-optimized ZrCdCuSn structure.

Relative energy among the computed polymorphs: 0.067 eV/atom
Size of the total moment: 0.000 μB/atom

Lattice parameters (Å, degrees): 4.8346 4.8346 4.8346 60.00 60.00 60.00
Fractional coordinates of all 4 atoms:
Cd 0.2500 0.2500 0.2500
Cu 0.7500 0.7500 0.7500
Sn 0.0000 0.0000 0.0000
Zr 0.5000 0.5000 0.5000

10.
The following is a DFT calculation (PBE) of a geometry-optimized SrCdCu2 structure.

Total DFT energy (no corrections): -9.358 eV per formula unit

Lattice parameters (Å, degrees): 4.8939 4.8939 4.8939 60.00 60.00 60.00
Fractional coordinates of all 4 atoms:
Cd 0.7500 0.7500 0.7500
Cu 0.2500 0.2500 0.2500
Cu 0.5000 0.5000 0.5000
Sr 0.0000 0.0000 0.0000

11.
The following is a DFT calculation (PBE) of a geometry-optimized TaCd2Cu structure.

ΔE_f: 0.47 eV/atom
Size of the total moment: 0.001 μB/atom

Lattice parameters (Å, degrees): 4.6203 4.6203 4.6203 60.00 60.00 60.00
Fractional coordinates of all 4 atoms:
Cd 0.0000 0.0000 0.0000
Cd 0.7500 0.7500 0.7500
Cu 0.2500 0.2500 0.2500
Ta 0.5000 0.5000 0.5000

12.
The following is a DFT calculation (PBE) of a geometry-optimized Tb2CdCu2 structure.

ΔE_f: -0.31 eV/atom
Size of the total moment: 0.003 μB/atom

Lattice parameters (Å, degrees): 7.5071 7.5071 3.7645 90.00 90.00 90.00
Fractional coordinates of all 10 atoms:
Cd 0.0000 0.0000 0.0000
Cd 0.5000 0.5000 0.0000
Cu 0.6200 0.1200 0.0000
Cu 0.1200 0.3800 0.0000
Cu 0.8800 0.6200 0.0000
Cu 0.3800 0.8800 0.0000
Tb 0.3259 0.1741 0.5000
Tb 0.8259 0.3259 0.5000
Tb 0.1741 0.6741 0.5000
Tb 0.6741 0.8259 0.5000

Ρ per entry: 6.99 8.27 10.50 10.38 11.09 7.40 7.31 8.03 8.02 6.55 11.17 8.72 Mg/m³